! PBEsol YZnAg2, relaxed; values from VASP
! * space group: P4/mmm
! * energy relative to the elements: -0.69 eV/f.u.
! * uncorrected energy: -3.9282 eV per atom
! * N(E_F): 0.632 states/eV/atom
! * magnetization: 0.0 μB/f.u.
&SYSTEM
  ibrav = 0, nat = 4, ntyp = 3
/
ATOMIC_SPECIES
Y 88.91 Y.upf
Zn 65.41 Zn.upf
Ag 107.87 Ag.upf
CELL_PARAMETERS angstrom
3.252 0.000 0.000
0.000 3.252 0.000
0.000 0.000 7.076
ATOMIC_POSITIONS crystal
Y 0.000 0.000 0.000
Zn 0.000 0.000 0.500
Ag 0.500 0.500 0.293
Ag 0.500 0.500 0.707

---

! PBEsol YZnAg, relaxed; values from VASP
! * space group: P-6m2
! * energy relative to the elements: -1.05 eV/f.u.
! * uncorrected energy: -4.2546 eV per atom
! * N(E_F): 0.731 states/eV/atom
! * magnetization: 0.0 μB/f.u.
&SYSTEM
  ibrav = 0, nat = 3, ntyp = 3
/
ATOMIC_SPECIES
Y 88.91 Y.upf
Zn 65.41 Zn.upf
Ag 107.87 Ag.upf
CELL_PARAMETERS angstrom
4.512 0.000 0.000
-2.256 3.908 0.000
0.000 0.000 3.437
ATOMIC_POSITIONS crystal
Y 0.000 0.000 0.000
Zn 0.333 0.667 0.500
Ag 0.667 0.333 0.500

---

! PBEsol YZr2Ag, relaxed; values from VASP
! * space group: P4mm
! * energy relative to the elements: -0.32 eV/f.u.
! * uncorrected energy: -7.1587 eV per atom
! * N(E_F): 1.105 states/eV/atom
! * magnetization: 0.0 μB/f.u.
! * offset from the most stable computed form: 0 meV/atom
&SYSTEM
  ibrav = 0, nat = 4, ntyp = 3
/
ATOMIC_SPECIES
Y 88.91 Y.upf
Zr 91.22 Zr.upf
Ag 107.87 Ag.upf
CELL_PARAMETERS angstrom
3.274 0.000 0.000
0.000 3.274 0.000
0.000 0.000 8.354
ATOMIC_POSITIONS crystal
Y 0.000 0.000 0.000
Zr 0.000 0.000 0.532
Zr 0.500 0.500 0.285
Ag 0.500 0.500 0.750

---

! PBEsol YZrAg, relaxed; values from VASP
! * space group: P3m1
! * energy relative to the elements: 0.26 eV/f.u.
! * uncorrected energy: -6.3218 eV per atom
! * N(E_F): 0.883 states/eV/atom
! * magnetization: 0.0 μB/f.u.
! * offset from the most stable computed form: 0 meV/atom
&SYSTEM
  ibrav = 0, nat = 3, ntyp = 3
/
ATOMIC_SPECIES
Y 88.91 Y.upf
Zr 91.22 Zr.upf
Ag 107.87 Ag.upf
CELL_PARAMETERS angstrom
3.268 0.000 0.000
-1.634 2.831 0.000
0.000 0.000 7.376
ATOMIC_POSITIONS crystal
Y 0.000 0.000 0.000
Zr 0.333 0.667 0.647
Ag 0.667 0.333 0.336

---

Q: magnetization of number 2 (YZnAg)?
A: 0.0 μB/f.u.